No. 1
Entry from the Alexandria database: DyThMgSc after structural relaxation (PBE).

Structure (POSCAR):
```
DyThMgSc
1.0
3.407 0.000 0.000
0.000 3.407 0.000
-1.703 -1.703 10.426
Sc Th Dy Mg
1 1 1 1
Cartesian
0.000 0.000 6.883
1.703 1.703 9.184
1.703 1.703 1.319
0.000 0.000 3.718
```

As for the space group: No. 107. The calculation puts the energy of formation at 0.179 eV per atom. For the density, the calculation gives 6.36 g cm⁻³. Its uncorrected energy is -4.8075 eV per atom.


No. 2
Entry from the Alexandria database: DyThMgSc after structural relaxation (PBE).

Structure (POSCAR):
```
DyThMgSc
1.0
5.411 0.000 0.000
2.706 4.686 0.000
2.706 1.562 4.418
Th Sc Mg Dy
1 1 1 1
Cartesian
8.117 4.686 3.314
0.000 0.000 0.000
5.411 3.124 2.209
2.706 1.562 1.105
```

As for the space group: No. 216. The calculation puts the energy of formation at 0.075 eV per atom. For the density, the calculation gives 6.87 g cm⁻³. Its uncorrected energy is -4.9118 eV per atom.


No. 3
Entry from the Alexandria database: DyMgSc2Tl4 after structural relaxation (PBE).

Structure (POSCAR):
```
DyMgSc2Tl4
1.0
5.127 0.000 0.000
2.564 4.440 0.000
2.564 1.480 8.664
Tl Sc Mg Dy
4 2 1 1
Cartesian
2.564 1.480 5.399
5.127 2.960 7.512
5.127 2.960 1.153
7.691 4.440 3.266
2.564 1.480 2.287
7.691 4.440 6.378
5.127 2.960 4.332
0.000 0.000 0.000
```

As for the space group: No. 166. The calculation puts the energy of formation at -0.220 eV per atom. For the density, the calculation gives 9.21 g cm⁻³. Its uncorrected energy is -3.7604 eV per atom.


Question: Which formula does entry 1 have?
Answer: DyThMgSc


Question: The highest energy of formation belongs to which entry?
Answer: number 1


Copy entry 3 word for word.
Entry from the Alexandria database: DyMgSc2Tl4 after structural relaxation (PBE).

Structure (POSCAR):
```
DyMgSc2Tl4
1.0
5.127 0.000 0.000
2.564 4.440 0.000
2.564 1.480 8.664
Tl Sc Mg Dy
4 2 1 1
Cartesian
2.564 1.480 5.399
5.127 2.960 7.512
5.127 2.960 1.153
7.691 4.440 3.266
2.564 1.480 2.287
7.691 4.440 6.378
5.127 2.960 4.332
0.000 0.000 0.000
```

As for the space group: No. 166. The calculation puts the energy of formation at -0.220 eV per atom. For the density, the calculation gives 9.21 g cm⁻³. Its uncorrected energy is -3.7604 eV per atom.


Question: Among the records above, which one has the lowest uncorrected energy?
Answer: number 2